[1]
The following is a DFT calculation (PBE-GGA) of an optimized crystal structure of Pm6YIn2.

- calculated formation energy (eV/atom) = -0.077
- total magnetization (μB/atom) = 0.000
- SG = No. 12
- relative energy among the computed polymorphs (meV per atom) = 140

abc: 3.4670 9.9282 9.9282
angles: 56.79 79.85 79.85
Atoms (fractional coordinates):
Pm: 0.6714 0.6428 0.0167
In: 0.8446 0.6532 0.6532
Pm: 0.3286 0.9833 0.3572
Pm: 0.5000 0.3368 0.6632
Pm: 0.6714 0.0167 0.6428
Y: 0.0000 0.0000 0.0000
Pm: 0.5000 0.6632 0.3368
Pm: 0.3286 0.3572 0.9833
In: 0.1554 0.3468 0.3468

[2]
The following is a DFT calculation (PBE-GGA) of an optimized crystal structure of Pm4Y5In.

- calculated formation energy (eV/atom) = 0.081
- total magnetization (μB/atom) = 0.000
- SG = No. 107

abc: 5.8619 8.1478 8.1478
angles: 82.57 68.92 68.92
Atoms (fractional coordinates):
Pm: 0.4579 0.3142 0.6859
Pm: 0.7721 0.6859 0.6858
Y: 0.7749 0.0000 0.3692
Y: 0.1441 0.0000 0.6308
Y: 0.1441 0.6308 0.0000
Y: 0.6615 0.0000 0.0000
In: 0.1790 0.0000 0.0000
Pm: 0.1438 0.3141 0.3142
Y: 0.7749 0.3692 0.0000
Pm: 0.4580 0.6858 0.3141

[3]
The following is a DFT calculation (PBE-GGA) of an optimized crystal structure of Pm2Y2In7.

- calculated formation energy (eV/atom) = -0.229
- total magnetization (μB/atom) = 0.000
- SG = No. 12

abc: 7.4503 6.0211 7.4503
angles: 83.57 101.55 96.43
Atoms (fractional coordinates):
Pm: 0.7276 0.1752 0.2724
In: 0.3975 0.2885 0.9295
In: 0.0000 0.0000 0.0000
Y: 0.8151 0.5000 0.8151
In: 0.5396 0.7378 0.4604
In: 0.4604 0.2622 0.5396
Pm: 0.2724 0.8248 0.7276
In: 0.0705 0.2885 0.6025
In: 0.9295 0.7115 0.3975
In: 0.6025 0.7115 0.0705
Y: 0.1849 0.5000 0.1849